CsNaPrI6 | PBE-GGA | optimized geometry

Values from the calculation:
Density of states at the Fermi level: 0.209 states/eV/atom
Spin magnetization: 0.00 μB per formula unit
SG: P1 (1)
DFT total energy: -3.05 eV/atom
E_form (uncorrected): -1.2470 eV/atom
V: 433 Å³/f.u.

Lattice parameters (Å, degrees): 6.411 8.438 8.743 97.51 90.05 112.32
Positions (direct):
Cs: 0.000 0.000 0.000
Na: 0.660 0.318 0.558
Pr: 0.358 0.718 0.443
I: 0.016 0.532 0.135
I: 0.187 0.374 0.590
I: 0.498 0.997 0.746
I: 0.515 0.532 0.135
I: 0.521 0.041 0.265
I: 0.866 0.733 0.552